VASP calculation (PBE) on a geometry-optimized TiRuN structure.

- E above lowest polymorph: 205.8 meV/atom
- Symmetry: Pm, No. 6
- Formation energy without anion corrections: -181 kJ/mol of formula units

```
TiRuN
1.0
4.5042 0.0000 0.0000
0.0000 2.8506 0.0000
-0.1135 0.0000 5.5998
Ti Ru N
2 2 2
direct
0.0000 0.0000 0.0000 Ti
0.0229 0.0000 0.5049 Ti
0.5256 0.0000 0.7480 Ru
0.5557 0.5000 0.3185 Ru
0.0367 0.5000 0.2519 N
0.1817 0.5000 0.7638 N
```